The following is a DFT calculation (PBE-GGA) of an optimized crystal structure of Zr2NpN3.

abc: 3.305 4.667 9.976
angles: 90.00 90.00 90.00
Space group Immm (No. 71)
Unique sites:
Zr: 0.000 0.000 0.169 (multiplicity 4)
Np: 0.000 0.000 0.500 (multiplicity 2)
N: 0.000 0.500 0.169 (multiplicity 4)
N: 0.000 0.500 0.500 (multiplicity 2)

The following is a DFT calculation (PBE-GGA) of an optimized crystal structure of PmOsNO.

abc: 3.769 5.638 5.110
angles: 90.00 90.00 90.00
Space group Pmc2_1 (No. 26)
Unique sites:
Pm: 0.000 0.201 0.000 (multiplicity 2)
Os: 0.500 0.362 0.504 (multiplicity 2)
N: 0.000 0.348 0.496 (multiplicity 2)
O: 0.500 0.055 0.746 (multiplicity 2)

| no. | calculated total energy (eV per atom) |
| --- | --- |
| 1 | -10.69 |
| 2 | -8.46 |